This record from the Alexandria database describes a geometry-optimized CsNa2Pt2 structure. The functional is PBE.

a = 8.9707 Å, b = 8.9707 Å, c = 3.0514 Å
α = 90.00°, β = 90.00°, γ = 90.00°
Last column: nearest neighbours and their distance in Å.
Space group P4/mbm (No. 127)
Asymmetric unit:
Cs (0.0000, 0.0000, 0.0000)  2 Cs 3.05
Na (0.1222, 0.3778, 0.0000)  3 Na 3.05-3.10, 6 Pt 3.05-3.06
Pt (0.1695, 0.6695, 0.5000)  2 Pt 3.05, 6 Na 3.05-3.06

Results
- ΔE to the lowest computed polymorph: 0 meV per atom
- M_tot: 0.00 μB/f.u.
- E_form: 0.24 eV/f.u.
- D(E_F): 1.20 states/eV/cell
- DFT total energy: -15.3 eV/f.u.